# 1
! Cs3RbAg | Alexandria | PBE | relaxed; values from VASP
! Mass density (Mg/m³): 2.3
! Polymorph energy (0 for the lowest one) (kJ per mole of atoms): 1.3
! SG: No. 221
! Density of states at the Fermi level (states/eV/f.u.): 11.34
! ΔE_f (eV per atom): 0.04
&SYSTEM
  ibrav = 0, nat = 5, ntyp = 3
/
ATOMIC_SPECIES
Rb 85.47 Rb.upf
Cs 132.91 Cs.upf
Ag 107.87 Ag.upf
ATOMIC_POSITIONS angstrom
Rb 3.772 3.772 3.772
Cs 3.772 0.000 0.000
Cs 0.000 3.772 0.000
Ag 0.000 0.000 0.000
Cs 0.000 0.000 3.772
CELL_PARAMETERS angstrom
7.544 0.000 0.000
0.000 7.544 0.000
0.000 0.000 7.544


# 2
! Cs3RbAg | Alexandria | PBE | relaxed; values from VASP
! Mass density (Mg/m³): 1.6
! Polymorph energy (0 for the lowest one) (kJ per mole of atoms): 40.6
! SG: No. 221
! Density of states at the Fermi level (states/eV/f.u.): 7.08
! ΔE_f (eV per atom): 0.44
&SYSTEM
  ibrav = 0, nat = 5, ntyp = 3
/
ATOMIC_SPECIES
Ag 107.87 Ag.upf
Cs 132.91 Cs.upf
Rb 85.47 Rb.upf
ATOMIC_POSITIONS angstrom
Ag 2.576 -5.889 3.525
Cs -1.352 -3.971 -0.565
Rb 0.000 0.000 0.000
Cs 4.010 -1.350 -0.104
Cs -0.083 -0.568 4.193
CELL_PARAMETERS angstrom
-2.703 -7.942 -1.130
8.020 -2.700 -0.208
-0.166 -1.137 8.387


# 3
! CsRb2Ag2 | Alexandria | PBE | relaxed; values from VASP
! Mass density (Mg/m³): 3.3
! Polymorph energy (0 for the lowest one) (kJ per mole of atoms): 0.0
! SG: No. 12
! Density of states at the Fermi level (states/eV/f.u.): 2.68
! ΔE_f (eV per atom): 0.06
&SYSTEM
  ibrav = 0, nat = 5, ntyp = 3
/
ATOMIC_SPECIES
Ag 107.87 Ag.upf
Rb 85.47 Rb.upf
Cs 132.91 Cs.upf
ATOMIC_POSITIONS angstrom
Ag -2.691 -0.934 -2.991
Rb -3.374 -3.824 -0.177
Cs 0.000 0.000 0.000
Rb -5.158 -0.127 -0.441
Ag -5.841 -3.017 2.373
CELL_PARAMETERS angstrom
0.397 -3.606 -3.607
-3.099 -4.848 4.505
-5.830 4.503 -1.515


# 4
! CsRbAg2 | Alexandria | PBE | relaxed; values from VASP
! Mass density (Mg/m³): 3.4
! Polymorph energy (0 for the lowest one) (kJ per mole of atoms): 9.1
! SG: No. 160
! ΔE_f (eV per atom): 0.13
&SYSTEM
  ibrav = 0, nat = 4, ntyp = 3
/
ATOMIC_SPECIES
Ag 107.87 Ag.upf
Cs 132.91 Cs.upf
Rb 85.47 Rb.upf
ATOMIC_POSITIONS angstrom
Ag 2.593 1.497 6.891
Cs 5.186 2.994 4.577
Rb 7.779 4.491 9.036
Ag 2.593 1.497 2.179
CELL_PARAMETERS angstrom
5.186 0.000 0.000
2.593 4.491 0.000
2.593 1.497 9.073


# 5
! Cs6Rb2Ag | Alexandria | PBE | relaxed; values from VASP
! Mass density (Mg/m³): 2.1
! SG: No. 12
! Density of states at the Fermi level (states/eV/f.u.): 8.43
! ΔE_f (eV per atom): 0.02
&SYSTEM
  ibrav = 0, nat = 9, ntyp = 3
/
ATOMIC_SPECIES
Cs 132.91 Cs.upf
Ag 107.87 Ag.upf
Rb 85.47 Rb.upf
ATOMIC_POSITIONS angstrom
Cs -2.924 -7.667 -3.672
Ag 2.133 -9.670 2.721
Rb -3.221 -4.724 3.231
Cs 0.519 -7.109 0.499
Cs -0.689 -9.260 5.183
Rb 2.699 -16.951 2.999
Cs -1.041 -14.565 5.730
Cs 2.402 -14.008 9.902
Cs 0.167 -12.414 1.047
CELL_PARAMETERS angstrom
-4.788 -2.333 0.789
-0.073 -8.103 -6.036
4.339 -11.237 11.477


# 6
! CsRb12Ag6 | Alexandria | PBE | relaxed; values from VASP
! Mass density (Mg/m³): 2.6
! SG: No. 204
! Density of states at the Fermi level (states/eV/f.u.): 11.20
! ΔE_f (eV per atom): 0.06
&SYSTEM
  ibrav = 0, nat = 19, ntyp = 3
/
ATOMIC_SPECIES
Rb 85.47 Rb.upf
Ag 107.87 Ag.upf
Cs 132.91 Cs.upf
ATOMIC_POSITIONS angstrom
Rb 0.755 4.797 -1.068
Rb 0.890 7.647 2.765
Ag 1.553 4.695 6.849
Rb 8.326 1.744 3.751
Rb 2.652 8.082 -3.751
Rb 5.170 6.338 -0.083
Rb -2.904 7.647 0.083
Rb 2.770 1.309 7.585
Cs 0.000 0.000 0.000
Rb -1.645 6.338 6.599
Rb 7.067 3.053 -2.765
Ag 0.579 8.388 -0.819
Ag 7.554 3.693 0.819
Rb 0.252 3.053 3.917
Ag 3.869 4.695 -3.015
Rb 4.532 1.744 1.068
Ag -2.132 5.698 3.015
Rb 4.666 4.594 4.902
Ag 4.843 1.003 4.653
CELL_PARAMETERS angstrom
10.844 0.000 -3.834
-5.422 9.391 -3.834
0.000 0.000 11.501


# 7
! CsRb3Ag | Alexandria | PBE | relaxed; values from VASP
! Mass density (Mg/m³): 1.4
! Polymorph energy (0 for the lowest one) (kJ per mole of atoms): 50.5
! SG: No. 221
! Density of states at the Fermi level (states/eV/f.u.): 7.73
! ΔE_f (eV per atom): 0.57
&SYSTEM
  ibrav = 0, nat = 5, ntyp = 3
/
ATOMIC_SPECIES
Ag 107.87 Ag.upf
Rb 85.47 Rb.upf
Cs 132.91 Cs.upf
ATOMIC_POSITIONS angstrom
Ag 4.188 4.188 4.188
Rb 0.000 0.000 4.188
Rb 4.188 0.000 0.000
Cs 0.000 0.000 0.000
Rb 0.000 4.188 0.000
CELL_PARAMETERS angstrom
8.375 0.000 0.000
0.000 8.375 0.000
0.000 0.000 8.375


# 8
! Cs4Rb7Ag | Alexandria | PBE | relaxed; values from VASP
! Mass density (Mg/m³): 1.9
! SG: No. 12
! Density of states at the Fermi level (states/eV/f.u.): 9.85
! ΔE_f (eV per atom): 0.02
&SYSTEM
  ibrav = 0, nat = 12, ntyp = 3
/
ATOMIC_SPECIES
Cs 132.91 Cs.upf
Rb 85.47 Rb.upf
Ag 107.87 Ag.upf
ATOMIC_POSITIONS angstrom
Cs 3.675 2.687 4.423
Rb 0.000 3.540 0.741
Cs 0.000 0.580 14.851
Rb 3.675 0.000 0.000
Cs 0.000 5.010 12.109
Rb 3.675 1.386 11.200
Rb 3.675 5.721 8.571
Rb 0.000 6.311 5.332
Rb 0.000 1.977 7.961
Ag 0.000 0.000 0.000
Rb 3.675 4.157 15.791
Cs 3.675 7.118 1.681
CELL_PARAMETERS angstrom
7.349 0.000 0.000
-3.675 8.020 -1.894
0.000 -0.323 18.426